Run P
# SiTc2

A geometry-optimized SiTc2 structure (PBE, Alexandria via LeMat-Bulk).

extended XYZ file:
```
12
Lattice="4.4065 0.0000 -0.0067 0.0000 2.8948 0.0000 -2.8882 0.0000 13.0425" Properties=species:S:1:pos:R:3 pbc="T T T"
Si -0.1644 0.0000 5.2849
Si 1.6827 0.0000 7.7508
Si -1.6086 1.4474 11.8062
Si 3.1269 1.4474 1.2296
Tc -1.0109 0.0000 9.5695
Tc 2.5292 0.0000 3.4663
Tc 0.4332 1.4474 3.0482
Tc 1.0851 1.4474 9.9875
Tc 0.4584 0.0000 12.1266
Tc 1.0599 0.0000 0.9091
Tc 1.9026 1.4474 5.6054
Tc -0.3842 1.4474 7.4304
```

As for the total moment: 0.00 μB per formula unit.

Run Q
# SiTc2

A geometry-optimized SiTc2 structure (PBE, Alexandria via LeMat-Bulk).

extended XYZ file:
```
6
Lattice="-0.5653 4.3129 -0.0002 -1.8797 -0.2463 2.2173 5.0732 -0.5949 4.2348" Properties=species:S:1:pos:R:3 pbc="T T T"
Si 2.4793 2.3563 3.3231
Si 0.1489 1.1154 3.1287
Tc -0.4493 1.0571 0.6961
Tc 3.0775 2.4146 5.7558
Tc 0.6700 3.3309 1.8975
Tc 1.9582 0.1409 4.5543
```

As for the total moment: 0.00 μB per formula unit.

Run R
# SiTc2

A geometry-optimized SiTc2 structure (PBE, Alexandria via LeMat-Bulk).

extended XYZ file:
```
3
Lattice="-4.0693 -3.0191 -0.8174 -0.5444 -4.4699 -2.4629 2.7097 2.7243 3.4026" Properties=species:S:1:pos:R:3 pbc="T T T"
Si 0.0000 0.0000 0.0000
Tc -3.0352 -4.9266 -2.1579
Tc -1.5786 -2.5624 -1.1223
```

As for the total moment: 0.00 μB per formula unit.

Run S
# SiTc2

A geometry-optimized SiTc2 structure (PBE, Alexandria via LeMat-Bulk).

extended XYZ file:
```
6
Lattice="-2.8992 -2.7855 1.3096 0.9500 -4.2130 -2.0380 1.7901 -3.5846 3.1015" Properties=species:S:1:pos:R:3 pbc="T T T"
Si 0.9292 -6.0192 0.7977
Si -1.0882 -4.5640 1.5755
Tc -0.6769 -2.4063 0.3400
Tc 0.5179 -8.1768 2.0332
Tc 1.3182 -3.7547 1.8947
Tc -1.4772 -6.8284 0.4784
```

As for the total moment: 0.00 μB per formula unit.

Computed stability ranking, most favorable first: run R, run Q, run S, run P

Run P
# SiTc2

A geometry-optimized SiTc2 structure (PBE, Alexandria via LeMat-Bulk).

extended XYZ file:
```
12
Lattice="-2.2057 -2.9175 -3.5274 -2.2689 -1.8291 2.9316 -3.6374 8.0212 2.1894" Properties=species:S:1:pos:R:3 pbc="T T T"
Si -2.0222 1.5233 -0.6147
Si -3.8209 3.5804 -0.7233
Si -4.9754 4.6194 1.9458
Si -3.1366 -1.3447 -0.3522
Tc -0.6579 -0.6572 -0.9192
Tc -5.1852 5.7609 -0.4188
Tc -3.6110 2.4389 1.6413
Tc -4.5010 0.8357 -0.0477
Tc -3.1574 0.0668 -2.4020
Tc -2.6857 5.0370 1.0641
Tc -6.1105 3.1628 0.1585
Tc -2.0014 0.1118 1.4351
```

As for the total moment: 0.00 μB per formula unit.

Run Q
# SiTc2

A geometry-optimized SiTc2 structure (PBE, Alexandria via LeMat-Bulk).

extended XYZ file:
```
12
Lattice="7.6219 0.0000 0.0000 0.0000 4.8382 0.0000 0.0000 0.0000 4.5291" Properties=species:S:1:pos:R:3 pbc="T T T"
Si 0.0000 1.5662 1.1323
Si 0.0000 3.2720 3.3968
Si 3.8110 3.9853 1.1323
Si 3.8110 0.8529 3.3968
Tc 2.5726 1.5577 1.1323
Tc 2.5726 3.2806 3.3968
Tc 5.0493 1.5577 1.1323
Tc 5.0493 3.2806 3.3968
Tc 6.3835 3.9768 1.1323
Tc 6.3835 0.8615 3.3968
Tc 1.2384 3.9768 1.1323
Tc 1.2384 0.8615 3.3968
```

As for the total moment: 0.00 μB per formula unit.

Computed stability ranking, most favorable first: run P, run Q

Run P
# SiTc2

A geometry-optimized SiTc2 structure (PBE, Alexandria via LeMat-Bulk).

extended XYZ file:
```
6
Lattice="-0.5146 3.7218 2.9423 -2.8240 3.6645 1.1705 -3.8546 -1.8185 5.0831" Properties=species:S:1:pos:R:3 pbc="T T T"
Si -4.8468 3.6575 6.1991
Si -3.0598 4.0632 3.8568
Tc -3.3572 7.3165 4.1391
Tc -2.3835 1.7003 3.0517
Tc -5.5231 6.0203 7.0042
Tc -4.5494 0.4042 5.9168
```

As for the total moment: 0.00 μB per formula unit.

Run Q
# SiTc2

A geometry-optimized SiTc2 structure (PBE, Alexandria via LeMat-Bulk).

extended XYZ file:
```
12
Lattice="-0.2769 -0.3704 -4.0311 -5.7503 -0.6750 0.4570 -0.8810 7.1044 -0.5923" Properties=species:S:1:pos:R:3 pbc="T T T"
Si -4.5772 2.1349 -0.9028
Si -5.4396 5.4687 -3.1919
Si -1.4686 0.5903 -0.9744
Si -2.3311 3.9241 -3.2635
Tc -0.8273 5.6993 -1.4879
Tc -3.3220 1.6336 -2.9850
Tc -3.5863 4.4254 -1.1813
Tc -6.0810 0.3597 -2.6784
Tc -1.2569 2.9860 -1.2091
Tc -3.1224 6.2019 -3.4185
Tc -3.7859 -0.1429 -0.7478
Tc -5.6513 3.0730 -2.9573
```

As for the total moment: 0.00 μB per formula unit.

Computed stability ranking, most favorable first: run P, run Q

Run P
# SiTc2

A geometry-optimized SiTc2 structure (PBE, Alexandria via LeMat-Bulk).

extended XYZ file:
```
6
Lattice="6.5809 0.0028 0.0000 -5.9139 2.8868 0.0000 0.0000 0.0000 4.2794" Properties=species:S:1:pos:R:3 pbc="T T T"
Si -4.9885 2.6732 1.0699
Si 5.6555 0.2164 3.2096
Tc -0.7592 1.6971 1.0699
Tc 1.4262 1.1926 3.2096
Tc 3.2685 0.7674 1.0699
Tc -2.6015 2.1223 3.2096
```

As for the total moment: 0.00 μB per formula unit.

Run Q
# SiTc2

A geometry-optimized SiTc2 structure (PBE, Alexandria via LeMat-Bulk).

extended XYZ file:
```
6
Lattice="5.1551 -2.0641 8.9816 1.3489 -1.5739 10.3542 -3.6011 -0.1722 -9.9251" Properties=species:S:1:pos:R:3 pbc="T T T"
Si 0.0000 0.0000 0.0000
Si 2.4030 -2.0276 4.3622
Tc 3.7308 -2.0869 11.0915
Tc 0.0210 -1.5147 3.6249
Tc 2.7731 -1.5512 8.2443
Tc 0.9787 -2.0504 6.4721
```

As for the total moment: 0.00 μB per formula unit.

Computed stability ranking, most favorable first: run P, run Q

Run P
# SiTc2

A geometry-optimized SiTc2 structure (PBE, Alexandria via LeMat-Bulk).

extended XYZ file:
```
9
Lattice="3.0705 -5.3183 0.0000 3.0705 5.3183 0.0000 0.0000 0.0000 3.9072" Properties=species:S:1:pos:R:3 pbc="T T T"
Si 3.0705 1.7728 0.0000
Si 3.0705 -1.7728 0.0000
Si 0.0000 0.0000 1.9536
Tc 0.7650 -1.3250 0.0000
Tc 0.7650 1.3250 0.0000
Tc 4.6111 0.0000 0.0000
Tc 1.7395 -3.0129 1.9536
Tc 1.7395 3.0129 1.9536
Tc 2.6620 0.0000 1.9536
```

As for the total moment: 0.00 μB per formula unit.

Run Q
# SiTc2

A geometry-optimized SiTc2 structure (PBE, Alexandria via LeMat-Bulk).

extended XYZ file:
```
6
Lattice="0.3640 2.1454 -6.3555 -2.6965 -3.2861 5.2017 -2.3305 3.6530 1.0996" Properties=species:S:1:pos:R:3 pbc="T T T"
Si -2.0608 3.6838 -2.9746
Si -2.6022 -1.1715 2.9204
Tc -4.0832 0.0946 4.6626
Tc -3.0880 1.8608 0.9045
Tc -1.5749 0.6515 -0.9587
Tc -0.5798 2.4176 -4.7167
```

As for the total moment: 0.00 μB per formula unit.

Run R
# SiTc2

A geometry-optimized SiTc2 structure (PBE, Alexandria via LeMat-Bulk).

extended XYZ file:
```
6
Lattice="-3.5372 2.5586 0.4467 -0.4756 -4.3342 -0.4961 0.1999 -0.5900 4.9631" Properties=species:S:1:pos:R:3 pbc="T T T"
Si -1.4461 -2.1841 1.0589
Si -2.3667 -0.1815 3.8547
Tc 0.0000 0.0000 0.0000
Tc 0.1000 -0.2950 2.4815
Tc -1.3462 -2.4791 3.5405
Tc -2.4666 0.1135 1.3732
```

As for the total moment: 0.00 μB per formula unit.

Run S
# SiTc2

A geometry-optimized SiTc2 structure (PBE, Alexandria via LeMat-Bulk).

extended XYZ file:
```
12
Lattice="5.6997 0.0000 -0.0060 0.0000 2.9039 0.0000 -2.5545 0.0000 9.9835" Properties=species:S:1:pos:R:3 pbc="T T T"
Si -0.1176 0.0000 1.4779
Si 3.2628 0.0000 8.4996
Si -1.3949 1.4520 6.4697
Si 4.5401 1.4520 3.5078
Tc 0.2355 0.0000 5.2776
Tc 2.9097 0.0000 4.6999
Tc 1.5127 1.4520 0.2858
Tc 1.6325 1.4520 9.6917
Tc 3.1553 0.0000 1.8622
Tc -0.0101 0.0000 8.1153
Tc 1.8780 1.4520 6.8540
Tc 1.2672 1.4520 3.1235
```

As for the total moment: 0.00 μB per formula unit.

Computed stability ranking, most favorable first: run S, run Q, run P, run R

Run P
# Si3Tc4

A geometry-optimized Si3Tc4 structure (PBE, Alexandria via LeMat-Bulk).

extended XYZ file:
```
7
Lattice="-0.6112 -3.1981 9.8602 3.5797 -3.7337 9.0038 -1.0894 5.4743 -8.7561" Properties=species:S:1:pos:R:3 pbc="T T T"
Si 0.0000 0.0000 0.0000
Si 2.1225 -4.9562 13.4876
Si 0.8460 -1.9756 5.3763
Tc 2.5012 -5.8406 15.8944
Tc 0.4673 -1.0912 2.9696
Tc 1.6895 -3.9453 10.7366
Tc 1.2790 -2.9865 8.1274
```

As for the total moment: 0.00 μB per formula unit.

Run Q
# Si3Tc4

A geometry-optimized Si3Tc4 structure (PBE, Alexandria via LeMat-Bulk).

extended XYZ file:
```
7
Lattice="2.3932 -4.1451 0.0000 2.3932 4.1451 0.0000 0.0000 0.0000 4.7604" Properties=species:S:1:pos:R:3 pbc="T T T"
Si 1.1966 -2.0726 0.0000
Si 1.1966 2.0726 0.0000
Si 2.3932 0.0000 0.0000
Tc 0.0000 0.0000 1.2273
Tc 0.0000 0.0000 3.5330
Tc 2.3932 1.3817 2.3802
Tc 2.3932 -1.3817 2.3802
```

As for the total moment: 0.00 μB per formula unit.

Computed stability ranking, most favorable first: run P, run Q

Run P
# SiTc4

A geometry-optimized SiTc4 structure (PBE, Alexandria via LeMat-Bulk).

extended XYZ file:
```
5
Lattice="0.8758 -10.8533 -0.6817 -0.5842 -10.6260 1.6112 -1.4503 -0.4640 -2.2632" Properties=species:S:1:pos:R:3 pbc="T T T"
Si 0.0000 0.0000 0.0000
Tc -0.7400 -9.0342 -0.9612
Tc -0.0530 -17.3221 0.2979
Tc -1.1057 -4.6213 -1.6316
Tc -0.4188 -12.9092 -0.3725
```

As for the total moment: 0.00 μB per formula unit.

Run Q
# SiTc4

A geometry-optimized SiTc4 structure (PBE, Alexandria via LeMat-Bulk).

extended XYZ file:
```
5
Lattice="4.3371 0.0000 0.0000 0.0000 4.3371 0.0000 0.0000 0.0000 4.3371" Properties=species:S:1:pos:R:3 pbc="T T T"
Si 2.1686 2.1686 2.1686
Tc 0.0000 0.0000 0.0000
Tc 2.1686 0.0000 2.1686
Tc 0.0000 2.1686 2.1686
Tc 2.1686 2.1686 0.0000
```

As for the total moment: 0.72 μB per formula unit.

Run R
# SiTc4

A geometry-optimized SiTc4 structure (PBE, Alexandria via LeMat-Bulk).

extended XYZ file:
```
5
Lattice="1.3612 -4.2036 1.7771 -4.4140 -0.3703 -1.7494 2.9833 1.2936 -3.4796" Properties=species:S:1:pos:R:3 pbc="T T T"
Si 0.0000 0.0000 0.0000
Tc 0.6806 -2.1018 0.8885
Tc -0.0348 -1.6402 -1.7260
Tc -2.2070 -0.1852 -0.8747
Tc 1.4917 0.6468 -1.7398
```

As for the total moment: 0.00 μB per formula unit.

Computed stability ranking, most favorable first: run P, run R, run Q

Run P
# SiTc5

A geometry-optimized SiTc5 structure (PBE, Alexandria via LeMat-Bulk).

extended XYZ file:
```
6
Lattice="4.9901 0.0043 0.0038 4.1526 2.7671 0.0038 2.2230 0.6739 6.1337" Properties=species:S:1:pos:R:3 pbc="T T T"
Si 9.0130 2.7321 0.3473
Tc 3.5645 1.0805 2.2858
Tc 7.5407 2.2858 4.5356
Tc 6.1400 1.8612 1.2690
Tc 10.1223 3.0684 3.4157
Tc 4.9648 1.5050 5.5544
```

As for the total moment: 0.00 μB per formula unit.

Run Q
# SiTc5

A geometry-optimized SiTc5 structure (PBE, Alexandria via LeMat-Bulk).

extended XYZ file:
```
6
Lattice="2.9132 0.0000 0.0000 0.0000 4.3548 0.0000 0.0000 -2.1774 6.6858" Properties=species:S:1:pos:R:3 pbc="T T T"
Si 0.0000 0.0000 0.0000
Tc 0.0000 2.1774 2.4340
Tc 0.0000 0.0000 4.2518
Tc 1.4566 2.1774 0.0000
Tc 1.4566 0.0000 1.9772
Tc 1.4566 2.1774 4.7086
```

As for the total moment: 0.00 μB per formula unit.

Computed stability ranking, most favorable first: run P, run Q